Crystalline LaTi4Cu3O12 at its relaxed geometry. Source: Alexandria, functional GGA-PBE.

a = 6.517 Å, b = 6.517 Å, c = 6.517 Å
α = 109.47°, β = 109.47°, γ = 109.47°
Sites, in units of the cell vectors:
1 O 0.522 0.701 0.821
2 O 0.478 0.299 0.179
3 O 0.179 0.880 0.701
4 O 0.120 0.299 0.821
5 O 0.701 0.179 0.880
6 O 0.821 0.522 0.701
7 O 0.701 0.821 0.522
8 O 0.880 0.701 0.179
9 O 0.299 0.179 0.478
10 O 0.299 0.821 0.120
11 O 0.179 0.478 0.299
12 O 0.821 0.120 0.299
13 Cu 0.500 0.500 0.000
14 Cu 0.500 0.000 0.500
15 Cu 0.000 0.500 0.500
16 Ti 0.000 0.000 0.500
17 Ti 0.000 0.500 0.000
18 Ti 0.500 0.000 0.000
19 Ti 0.500 0.500 0.500
20 La 0.000 0.000 0.000

Output
Magnetization in μB per formula unit: 2.01
Density in kg/m3: 5556
Raw formation energy in kJ per mole of atoms: -229.8

Crystalline VP2RuCl at its relaxed geometry. Source: Alexandria, functional GGA-PBE.

a = 4.541 Å, b = 4.541 Å, c = 4.582 Å
α = 90.00°, β = 90.00°, γ = 90.00°
Sites, in units of the cell vectors:
1 P 0.500 0.000 0.000
2 P 0.000 0.500 0.000
3 V 0.000 0.000 0.000
4 Ru 0.500 0.500 0.500
5 Cl 0.000 0.000 0.500

Output
Magnetization in μB per formula unit: 2.89
E above lowest polymorph in meV per atom: 0
Density in kg/m3: 4383
Raw formation energy in kJ per mole of atoms: 71.9

Crystalline HfReP2S at its relaxed geometry. Source: Alexandria, functional GGA-PBE.

a = 4.493 Å, b = 4.493 Å, c = 4.925 Å
α = 90.00°, β = 90.00°, γ = 90.00°
Sites, in units of the cell vectors:
1 P 0.500 0.000 0.000
2 P 0.000 0.500 0.000
3 Re 0.000 0.000 0.000
4 Hf 0.500 0.500 0.500
5 S 0.000 0.000 0.500

Output
Magnetization in μB per formula unit: 0.00
E above lowest polymorph in meV per atom: 0
Density in kg/m3: 7662
Raw formation energy in kJ per mole of atoms: 50.7

Crystalline BaLiLaZn at its relaxed geometry. Source: Alexandria, functional GGA-PBE.

a = 5.648 Å, b = 5.648 Å, c = 5.648 Å
α = 60.00°, β = 60.00°, γ = 60.00°
Sites, in units of the cell vectors:
1 Zn 0.000 0.000 0.000
2 La 0.750 0.750 0.750
3 Ba 0.250 0.250 0.250
4 Li 0.500 0.500 0.500

Output
Magnetization in μB per formula unit: 0.00
ΔH_f (0 K) in eV/atom: 0.0137
Density in kg/m3: 4544

Crystalline CeDy6Tm3Th2 at its relaxed geometry. Source: Alexandria, functional GGA-PBE.

a = 6.119 Å, b = 6.119 Å, c = 11.683 Å
α = 95.02°, β = 95.02°, γ = 119.97°
Sites, in units of the cell vectors:
1 Th 0.667 0.333 0.000
2 Th 0.333 0.667 0.000
3 Tm 0.167 0.833 0.500
4 Tm 0.500 0.500 0.500
5 Tm 0.833 0.167 0.500
6 Dy 0.749 0.749 0.248
7 Dy 0.418 0.083 0.248
8 Dy 0.582 0.917 0.752
9 Dy 0.917 0.582 0.752
10 Dy 0.083 0.418 0.248
11 Dy 0.251 0.251 0.752
12 Ce 0.000 0.000 0.000

Output
Magnetization in μB per formula unit: 0.46
ΔH_f (0 K) in eV/atom: 0.0357
Density in kg/m3: 9284

Crystalline Rb4NaSn3Cl12 at its relaxed geometry. Source: Alexandria, functional GGA-PBE.

a = 9.485 Å, b = 9.485 Å, c = 9.485 Å
α = 109.47°, β = 109.47°, γ = 109.47°
Sites, in units of the cell vectors:
1 Sn 0.500 0.000 0.500
2 Sn 0.000 0.500 0.500
3 Sn 0.500 0.500 0.000
4 Cl 0.250 0.750 0.500
5 Cl 0.500 0.750 0.250
6 Cl 0.746 0.000 0.746
7 Cl 0.746 0.746 0.000
8 Cl 0.000 0.746 0.746
9 Cl 0.000 0.254 0.254
10 Cl 0.254 0.000 0.254
11 Cl 0.750 0.500 0.250
12 Cl 0.254 0.254 0.000
13 Cl 0.750 0.250 0.500
14 Cl 0.250 0.500 0.750
15 Cl 0.500 0.250 0.750
16 Na 0.000 0.000 0.000
17 Rb 0.500 0.000 0.000
18 Rb 0.000 0.500 0.000
19 Rb 0.000 0.000 0.500
20 Rb 0.500 0.500 0.500

Output
Magnetization in μB per formula unit: 0.00
Density in kg/m3: 2898
Raw formation energy in kJ per mole of atoms: -140.3

Crystalline Cd2AsP2 at its relaxed geometry. Source: Alexandria, functional GGA-PBE.

a = 7.328 Å, b = 7.328 Å, c = 3.775 Å
α = 90.00°, β = 90.00°, γ = 90.00°
Sites, in units of the cell vectors:
1 As 0.500 0.500 0.000
2 As 0.000 0.000 0.000
3 P 0.818 0.682 0.000
4 P 0.682 0.182 0.000
5 P 0.182 0.318 0.000
6 P 0.318 0.818 0.000
7 Cd 0.363 0.137 0.500
8 Cd 0.137 0.637 0.500
9 Cd 0.637 0.863 0.500
10 Cd 0.863 0.363 0.500

Output
Magnetization in μB per formula unit: 0.00
ΔH_f (0 K) in eV/atom: 0.3152
E above lowest polymorph in meV per atom: 0
Density in kg/m3: 5926

Crystalline Ag2HRuS at its relaxed geometry. Source: Alexandria, functional GGA-PBE.

a = 3.711 Å, b = 5.494 Å, c = 3.711 Å
α = 90.00°, β = 90.00°, γ = 90.00°
Sites, in units of the cell vectors:
1 Ag 0.500 0.000 0.000
2 Ag 0.000 0.000 0.500
3 S 0.000 0.500 0.000
4 Ru 0.500 0.500 0.500
5 H 0.000 0.000 0.000

Output
Final energy in eV/atom: -3.853
Magnetization in μB per formula unit: 1.65
Density in kg/m3: 7679